# 1
Computed, not measured: CsNa2LiPb after structural relaxation at the PBE level of DFT.

Lattice parameters (Å, degrees): 6.0036 6.0036 5.3168 90.00 90.00 90.00
Fractional coordinates of all 5 atoms:
Na1 0.0000 0.5000 0.0000
Na2 0.5000 0.0000 0.0000
Cs1 0.5000 0.5000 0.5000
Pb1 0.0000 0.0000 0.5000
Li1 0.0000 0.0000 0.0000

Values from the calculation:
Formation energy (eV/atom): -0.01
Symmetry: P4/mmm

# 2
Computed, not measured: SrNbCdSn2 after structural relaxation at the PBE level of DFT.

Lattice parameters (Å, degrees): 5.4095 5.9094 5.4095 90.00 90.00 90.00
Fractional coordinates of all 5 atoms:
Sn1 0.5000 0.0000 0.0000
Sn2 0.0000 0.0000 0.5000
Cd1 0.5000 0.5000 0.5000
Nb1 0.0000 0.0000 0.0000
Sr1 0.0000 0.5000 0.0000

Values from the calculation:
Formation energy (eV/atom): 0.34
Symmetry: P4/mmm

# 3
Computed, not measured: Zr6Hg3H after structural relaxation at the PBE level of DFT.

Lattice parameters (Å, degrees): 7.1587 5.9147 5.9147 57.50 82.75 82.75
Fractional coordinates of all 10 atoms:
Zr1 0.0830 0.6447 0.6447
Zr2 0.9170 0.3553 0.3553
Zr3 0.3539 0.1476 0.6392
Zr4 0.6461 0.3608 0.8524
Zr5 0.3539 0.6392 0.1476
Zr6 0.6461 0.8524 0.3608
Hg1 0.0000 0.0000 0.0000
Hg2 0.2742 0.1616 0.1616
Hg3 0.7258 0.8384 0.8384
H1 0.5000 0.5000 0.5000

Values from the calculation:
Symmetry: C2/m

# 4
Computed, not measured: SrLiZr2 after structural relaxation at the PBE level of DFT.

Lattice parameters (Å, degrees): 3.1604 5.5545 6.0003 90.00 90.00 90.00
Fractional coordinates of all 4 atoms:
Zr1 0.0000 0.0000 0.4923
Zr2 0.0000 0.0000 0.0077
Sr1 0.5000 0.5000 0.7500
Li1 0.5000 0.5000 0.2500

Values from the calculation:
Formation energy (eV/atom): 0.59
Symmetry: Pmmm

# 5
Computed, not measured: AsI after structural relaxation at the PBE level of DFT.

Lattice parameters (Å, degrees): 6.9219 6.9219 6.9219 90.00 90.00 90.00
Fractional coordinates of all 8 atoms:
I1 0.0000 0.0000 0.0000
I2 0.5000 0.5000 0.0000
I3 0.0000 0.5000 0.5000
I4 0.5000 0.0000 0.5000
As1 0.7500 0.2500 0.7500
As2 0.2500 0.2500 0.2500
As3 0.7500 0.7500 0.2500
As4 0.2500 0.7500 0.7500

Values from the calculation:
Symmetry: F-43m

# 6
Computed, not measured: DyTm2PuAs4 after structural relaxation at the PBE level of DFT.

Lattice parameters (Å, degrees): 4.1019 7.0796 7.0857 70.53 90.00 90.00
Site moments in Bohr magnetons follow the coordinates.
Fractional coordinates of all 8 atoms:
Dy1 0.5000 0.5000 0.0000  0.02
Pu1 0.0000 0.5000 0.5000  5.01
As1 0.0000 0.2468 0.2517  -0.04
As2 0.5000 0.2473 0.7503  -0.07
As3 0.0000 0.7532 0.7483  -0.04
As4 0.5000 0.7527 0.2497  -0.07
Tm1 0.0000 0.0000 0.0000  -0.04
Tm2 0.5000 0.0000 0.5000  0.01

Values from the calculation:
Formation energy (eV/atom): -1.38
Symmetry: P2/m

# 7
Computed, not measured: NiIrW2 after structural relaxation at the PBE level of DFT.

Lattice parameters (Å, degrees): 4.3610 4.3610 4.3610 60.00 60.00 60.00
Fractional coordinates of all 4 atoms:
Ni1 0.7500 0.7500 0.7500
Ir1 0.5000 0.5000 0.5000
W1 0.0000 0.0000 0.0000
W2 0.2500 0.2500 0.2500

Values from the calculation:
Formation energy (eV/atom): 0.11
Symmetry: F-43m

# 8
Computed, not measured: Ca2CuCl after structural relaxation at the PBE level of DFT.

Lattice parameters (Å, degrees): 6.3582 6.3582 4.5374 89.99 89.99 34.39
Fractional coordinates of all 4 atoms:
Ca1 0.2634 0.2634 0.3751
Ca2 0.0000 0.0000 0.8746
Cu1 0.7392 0.7392 0.8756
Cl1 0.4973 0.4973 0.3747

Values from the calculation:
Symmetry: Amm2

# 9
Computed, not measured: AcSmAg after structural relaxation at the PBE level of DFT.

Lattice parameters (Å, degrees): 3.8536 3.8536 7.0512 105.86 105.86 90.00
Site moments in Bohr magnetons follow the coordinates.
Fractional coordinates of all 3 atoms:
Ac1 0.0144 0.0144 0.0287  0.05
Ag1 0.6801 0.6801 0.3603  0.01
Sm1 0.3055 0.3055 0.6110  0.09

Values from the calculation:
Formation energy (eV/atom): -0.14
Symmetry: I4mm

# 10
Computed, not measured: ZnSiMo after structural relaxation at the PBE level of DFT.

Lattice parameters (Å, degrees): 4.8830 4.8830 4.8830 146.26 137.67 55.19
Fractional coordinates of all 3 atoms:
Zn1 0.6724 0.6724 0.0000
Si1 0.3339 0.3339 0.0000
Mo1 0.9937 0.9937 0.0000

Values from the calculation:
Symmetry: Imm2

# 11
Computed, not measured: Pr8Os3AuCl4 after structural relaxation at the PBE level of DFT.

Lattice parameters (Å, degrees): 8.3566 9.0212 8.3539 117.62 120.01 90.00
Fractional coordinates of all 16 atoms:
Os1 0.5000 0.5000 0.5000
Os2 0.0000 0.5000 0.5000
Os3 0.5000 0.5000 0.0000
Cl1 0.0000 0.0000 0.5000
Cl2 0.0000 0.0000 0.0000
Cl3 0.5000 0.0000 0.5000
Cl4 0.5000 0.0000 0.0000
Pr1 0.2833 0.2933 0.0381
Pr2 0.7167 0.7067 0.9619
Pr3 0.2452 0.7067 0.4904
Pr4 0.7547 0.2933 0.0381
Pr5 0.7364 0.7088 0.4729
Pr6 0.2453 0.7067 0.9619
Pr7 0.2636 0.2912 0.5271
Pr8 0.7548 0.2933 0.5096
Au1 0.0000 0.5000 0.0000

Values from the calculation:
Symmetry: C2/m

# 12
Computed, not measured: CaLa3Pt after structural relaxation at the PBE level of DFT.

Lattice parameters (Å, degrees): 5.5727 5.5727 5.5727 90.00 90.00 90.00
Fractional coordinates of all 5 atoms:
Ca1 0.0000 0.0000 0.0000
La1 0.0000 0.5000 0.0000
La2 0.5000 0.0000 0.0000
La3 0.0000 0.0000 0.5000
Pt1 0.5000 0.5000 0.5000

Values from the calculation:
Formation energy (eV/atom): 0.95
Symmetry: Pm-3m

Let's list ρ in order: 3.4 5.1 9.1 4.4 4.0 8.9 17.5 2.9 8.3 7.3 7.3 6.3 g/cm3.
Let's list VASP energy in order: -9.169 -18.971 -55.662 -18.350 -17.924 -57.523 -40.099 -12.780 -12.086 -17.313 -96.391 -18.082 eV per cell.